First-principles (PBE with a Hubbard U) data for crystalline SbW2O8 at its relaxed geometry, as listed in Alexandria via LeMat-Bulk. Values from VASP.

```
&SYSTEM
  ibrav = 0, nat = 22, ntyp = 3
/
ATOMIC_SPECIES
O 16.00 O.upf
W 183.84 W.upf
Sb 121.76 Sb.upf
CELL_PARAMETERS angstrom
-3.655 -1.107 -4.426
-1.844 -4.062 2.539
-8.481 1.899 6.528
ATOMIC_POSITIONS crystal
O 0.095 0.662 0.390
O 0.112 0.834 0.598
O 0.888 0.166 0.402
O 0.361 0.721 0.874
O 0.888 0.834 0.098
O 0.613 0.747 0.627
O 0.639 0.721 0.374
O 0.639 0.279 0.126
O 0.112 0.166 0.902
O 0.387 0.747 0.127
O 0.905 0.662 0.890
O 0.361 0.279 0.626
O 0.613 0.253 0.873
O 0.905 0.338 0.610
O 0.387 0.253 0.373
O 0.095 0.338 0.110
W 0.832 0.272 0.993
W 0.168 0.728 0.007
W 0.832 0.728 0.507
W 0.168 0.272 0.493
Sb 0.650 0.500 0.250
Sb 0.350 0.500 0.750
```

The total energy comes out at -0.25636 hartree per atom. The calculation puts the calculated density at 7.0 g/cm3. For the energy above the most stable polymorph in this dataset, the calculation gives 0 meV per atom. The value obtained for the density of states at the Fermi level is 0.18 states/eV/atom. As for the space group: P2/c, No. 13.